Record 1
A plane-wave DFT calculation with PBEsol was carried out for a geometry-optimized Al3W structure.

Properties
**Total DFT energy (no corrections)**: -6.552 eV per atom
**ΔH_f (0 K)**: -0.032 eV per atom
**DOS(E_F)**: 0.517 states/eV/atom
**Magnetization**: 0.000 Bohr magnetons per cell

Geometry as POSCAR:
```
Al3W
1.0
3.375 0.000 0.000
0.000 3.375 0.000
0.000 0.000 5.402
Al W
3 1
Cartesian
1.688 1.688 0.000
0.000 0.000 1.407
0.000 0.000 3.995
1.688 1.688 2.701
```



Record 2
A plane-wave DFT calculation with PBEsol was carried out for a geometry-optimized AlW3 structure.

Properties
**Total DFT energy (no corrections)**: -11.227 eV per atom
**ΔH_f (0 K)**: 0.152 eV per atom
**DOS(E_F)**: 0.799 states/eV/atom
**Magnetization**: 0.000 Bohr magnetons per cell

Geometry as POSCAR:
```
AlW3
1.0
3.272 0.000 0.000
0.000 4.325 0.000
0.000 0.000 4.325
Al W
1 3
Cartesian
0.000 0.000 0.000
1.636 0.000 2.162
1.636 2.162 0.000
0.000 2.162 2.162
```



Record 3
A plane-wave DFT calculation with PBEsol was carried out for a geometry-optimized Al3W structure.

Properties
**Total DFT energy (no corrections)**: -6.364 eV per atom
**ΔH_f (0 K)**: 0.157 eV per atom
**DOS(E_F)**: 0.375 states/eV/atom
**Magnetization**: 0.000 Bohr magnetons per cell

Geometry as POSCAR:
```
Al3W
1.0
-0.220 2.193 -4.123
4.352 -2.577 -1.603
-3.019 -3.917 -1.922
Al W
6 2
Cartesian
2.602 -3.501 -3.326
2.141 -1.256 -2.108
-2.533 -3.270 -2.930
-1.488 -0.800 -4.322
3.647 -1.030 -4.718
-1.027 -3.044 -5.540
-0.049 -2.819 -2.822
1.163 -1.482 -4.826
```



Record 4
A plane-wave DFT calculation with PBEsol was carried out for a geometry-optimized AlW structure.

Properties
**Total DFT energy (no corrections)**: -8.975 eV per atom
**ΔH_f (0 K)**: -0.026 eV per atom
**DOS(E_F)**: 0.258 states/eV/atom
**Magnetization**: 0.000 Bohr magnetons per cell

Geometry as POSCAR:
```
AlW
1.0
-0.559 -2.957 -3.189
1.935 -3.924 0.285
-2.413 -3.586 0.735
Al W
2 2
Cartesian
-0.778 -7.851 -1.626
-0.519 -5.234 -1.084
0.000 0.000 0.000
-0.259 -2.617 -0.542
```



Record 5
A plane-wave DFT calculation with PBEsol was carried out for a geometry-optimized Al2W structure.

Properties
**Total DFT energy (no corrections)**: -7.333 eV per atom
**ΔH_f (0 K)**: -0.003 eV per atom
**DOS(E_F)**: 0.471 states/eV/atom
**Magnetization**: 0.000 Bohr magnetons per cell

Geometry as POSCAR:
```
Al2W
1.0
-2.237 0.455 -1.371
-1.628 -3.851 1.379
-0.699 3.655 2.353
Al W
2 1
Cartesian
-3.431 -0.920 0.409
-1.133 1.178 1.952
-1.119 0.227 -0.686
```



Record 6
A plane-wave DFT calculation with PBEsol was carried out for a geometry-optimized AlW2 structure.

Properties
**Total DFT energy (no corrections)**: -10.565 eV per atom
**ΔH_f (0 K)**: 0.004 eV per atom
**DOS(E_F)**: 0.536 states/eV/atom
**Magnetization**: 0.000 Bohr magnetons per cell

Geometry as POSCAR:
```
AlW2
1.0
2.709 0.000 0.000
0.000 4.424 0.000
0.000 -2.212 3.831
W Al
2 1
Cartesian
1.718 2.212 1.277
0.991 0.000 2.554
0.000 0.000 0.000
```



Record 7
A plane-wave DFT calculation with PBEsol was carried out for a geometry-optimized Al12W structure.

Properties
**Total DFT energy (no corrections)**: -4.908 eV per atom
**ΔH_f (0 K)**: -0.069 eV per atom
**DOS(E_F)**: 0.316 states/eV/atom
**Magnetization**: 0.000 Bohr magnetons per cell

Geometry as POSCAR:
```
Al12W
1.0
6.526 0.000 0.000
-2.175 6.153 0.000
-2.175 -3.076 5.328
Al W
12 1
Cartesian
1.637 3.457 2.694
0.538 -0.381 2.634
-0.538 2.091 1.647
4.375 -0.190 1.647
-1.637 -0.605 4.341
-0.024 4.632 0.659
3.812 3.681 0.988
0.024 1.745 4.341
-2.200 3.266 3.682
2.714 0.985 3.682
2.151 1.331 0.988
2.200 -1.555 4.669
0.000 0.000 0.000
```



Record 8
A plane-wave DFT calculation with PBEsol was carried out for a geometry-optimized AlW structure.

Properties
**Total DFT energy (no corrections)**: -8.851 eV per atom
**ΔH_f (0 K)**: 0.098 eV per atom
**DOS(E_F)**: 0.606 states/eV/atom
**Magnetization**: 0.000 Bohr magnetons per cell

Geometry as POSCAR:
```
AlW
1.0
2.722 0.002 0.000
-0.842 2.588 0.000
0.000 0.000 8.805
Al W
2 2
Cartesian
1.831 0.649 7.640
0.049 1.942 1.165
0.049 1.942 5.504
1.831 0.649 3.301
```



Record 9
A plane-wave DFT calculation with PBEsol was carried out for a geometry-optimized Al3W structure.

Properties
**Total DFT energy (no corrections)**: -6.618 eV per atom
**ΔH_f (0 K)**: -0.098 eV per atom
**DOS(E_F)**: 0.573 states/eV/atom
**Magnetization**: 0.258 Bohr magnetons per cell

Geometry as POSCAR:
```
Al3W
1.0
-3.053 0.517 1.934
-2.023 -2.214 -2.603
3.370 -2.512 2.546
Al W
3 1
Cartesian
0.415 -1.677 1.104
-2.122 -2.531 0.773
-1.527 0.259 0.967
-1.012 -1.107 -1.301
```



Record 10
A plane-wave DFT calculation with PBEsol was carried out for a geometry-optimized AlW structure.

Properties
**Total DFT energy (no corrections)**: -8.926 eV per atom
**ΔH_f (0 K)**: 0.023 eV per atom
**DOS(E_F)**: 0.543 states/eV/atom
**Magnetization**: 0.000 Bohr magnetons per cell

Geometry as POSCAR:
```
AlW
1.0
-1.368 -0.801 -2.200
2.609 -0.587 -0.447
-0.566 -3.854 1.756
W Al
1 1
Cartesian
0.337 -2.621 -0.445
0.000 0.000 0.000
```



Record 11
A plane-wave DFT calculation with PBEsol was carried out for a geometry-optimized Al3W structure.

Properties
**Total DFT energy (no corrections)**: -6.553 eV per atom
**ΔH_f (0 K)**: -0.033 eV per atom
**DOS(E_F)**: 0.565 states/eV/atom
**Magnetization**: 0.000 Bohr magnetons per cell

Geometry as POSCAR:
```
Al3W
1.0
-3.574 1.128 0.355
-0.773 -1.374 -3.419
0.176 -7.287 4.961
Al W
6 2
Cartesian
-0.475 -1.763 0.816
-0.387 -0.687 -1.710
-2.786 -3.141 1.892
-1.787 0.564 0.178
-1.385 -4.392 0.005
-3.696 -5.770 1.081
-1.479 -5.486 2.539
-2.692 -2.046 -0.642
```



Record 12
A plane-wave DFT calculation with PBEsol was carried out for a geometry-optimized AlW3 structure.

Properties
**Total DFT energy (no corrections)**: -11.362 eV per atom
**ΔH_f (0 K)**: 0.016 eV per atom
**DOS(E_F)**: 0.265 states/eV/atom
**Magnetization**: 0.000 Bohr magnetons per cell

Geometry as POSCAR:
```
AlW3
1.0
4.440 0.000 0.000
0.000 5.420 0.002
0.000 1.817 5.106
W Al
6 2
Cartesian
1.110 4.986 0.616
1.110 2.317 0.632
3.330 1.371 1.972
1.110 5.865 3.136
3.330 4.919 4.476
3.330 2.251 4.491
3.330 4.075 1.906
1.110 3.161 3.201
```



Record 13
A plane-wave DFT calculation with PBEsol was carried out for a geometry-optimized Y2AlW structure.

Properties
**Total DFT energy (no corrections)**: -7.448 eV per atom
**ΔH_f (0 K)**: 0.438 eV per atom
**DOS(E_F)**: 1.107 states/eV/atom
**Magnetization**: 0.000 Bohr magnetons per cell

Geometry as POSCAR:
```
Y2AlW
1.0
3.009 0.000 0.000
0.000 5.454 0.044
0.000 -2.252 5.134
Al Y W
1 2 1
Cartesian
1.505 2.727 0.022
1.505 -1.126 2.567
0.000 0.000 0.000
0.000 1.601 2.589
```



Record 14
A plane-wave DFT calculation with PBEsol was carried out for a geometry-optimized YAlW2 structure.

Properties
**Total DFT energy (no corrections)**: -9.226 eV per atom
**ΔH_f (0 K)**: 0.406 eV per atom
**DOS(E_F)**: 0.703 states/eV/atom
**Magnetization**: 0.000 Bohr magnetons per cell

Geometry as POSCAR:
```
YAlW2
1.0
-2.074 1.790 -2.160
-3.293 -2.825 0.821
1.283 3.184 4.224
W Y Al
2 1 1
Cartesian
-3.396 0.838 1.138
-0.689 1.311 1.747
-1.646 -1.412 0.411
-1.037 0.895 -1.080
```



Record 15
A plane-wave DFT calculation with PBEsol was carried out for a geometry-optimized YAl2W structure.

Properties
**Energy above the most stable polymorph in this dataset**: 0 meV per atom
**Total DFT energy (no corrections)**: -7.111 eV per atom
**ΔH_f (0 K)**: 0.092 eV per atom
**DOS(E_F)**: 0.584 states/eV/atom
**Magnetization**: 0.000 Bohr magnetons per cell

Geometry as POSCAR:
```
YAl2W
1.0
-2.402 -1.075 -1.228
2.703 -1.362 -4.096
-0.004 -3.829 3.359
Y Al W
1 2 1
Cartesian
0.149 -3.133 -0.983
-0.002 -1.914 1.679
1.352 -0.681 -2.048
-1.201 -0.537 -0.614
```



Record 16
A plane-wave DFT calculation with PBEsol was carried out for a geometry-optimized YAlW2 structure.

Properties
**Total DFT energy (no corrections)**: -9.115 eV per atom
**ΔH_f (0 K)**: 0.517 eV per atom
**DOS(E_F)**: 0.939 states/eV/atom
**Magnetization**: 0.000 Bohr magnetons per cell

Geometry as POSCAR:
```
YAlW2
1.0
2.858 0.000 0.000
1.429 2.475 0.000
1.429 0.825 9.937
Al W Y
1 2 1
Cartesian
2.858 1.650 4.968
1.429 0.825 2.744
4.287 2.475 7.193
0.000 0.000 0.000
```



Record 17
A plane-wave DFT calculation with PBEsol was carried out for a geometry-optimized YAlW4 structure.

Properties
**Total DFT energy (no corrections)**: -10.729 eV per atom
**ΔH_f (0 K)**: 0.295 eV per atom
**DOS(E_F)**: 1.080 states/eV/atom
**Magnetization**: 0.001 Bohr magnetons per cell

Geometry as POSCAR:
```
YAlW4
1.0
-1.403 5.145 0.483
-3.270 1.523 3.957
1.897 2.922 4.066
W Al Y
4 1 1
Cartesian
-2.681 4.356 5.172
-1.039 3.591 3.185
-1.744 6.174 3.428
-0.087 5.058 5.226
0.000 0.000 0.000
-2.082 7.192 6.379
```



Record 18
A plane-wave DFT calculation with PBEsol was carried out for a geometry-optimized YAl2W structure.

Properties
**Energy above the most stable polymorph in this dataset**: 72 meV per atom
**Total DFT energy (no corrections)**: -7.039 eV per atom
**ΔH_f (0 K)**: 0.164 eV per atom
**DOS(E_F)**: 0.704 states/eV/atom
**Magnetization**: 0.000 Bohr magnetons per cell

Geometry as POSCAR:
```
YAl2W
1.0
-2.873 0.309 -0.602
-1.480 -2.197 -1.302
-3.675 -4.303 8.095
W Al Y
1 2 1
Cartesian
-4.014 -3.096 3.096
-5.959 -4.542 4.402
-2.069 -1.650 1.790
0.000 0.000 0.000
```



Record 19
A plane-wave DFT calculation with PBEsol was carried out for a geometry-optimized Y2AlW structure.

Properties
**Total DFT energy (no corrections)**: -7.726 eV per atom
**ΔH_f (0 K)**: 0.160 eV per atom
**DOS(E_F)**: 1.051 states/eV/atom
**Magnetization**: 0.000 Bohr magnetons per cell

Geometry as POSCAR:
```
Y2AlW
1.0
-0.075 2.675 -2.223
-0.162 -2.223 -2.670
-7.585 0.101 0.376
W Al Y
1 1 2
Cartesian
-5.348 0.295 -2.187
-4.200 0.056 0.208
-2.528 0.258 -2.327
-7.123 0.095 0.354
```



Record 20
A plane-wave DFT calculation with PBEsol was carried out for a geometry-optimized YAl2W structure.

Properties
**Energy above the most stable polymorph in this dataset**: 47 meV per atom
**Total DFT energy (no corrections)**: -7.064 eV per atom
**ΔH_f (0 K)**: 0.139 eV per atom
**DOS(E_F)**: 0.699 states/eV/atom
**Magnetization**: 0.000 Bohr magnetons per cell

Geometry as POSCAR:
```
YAl2W
1.0
2.797 0.000 0.000
0.000 5.113 0.005
-1.399 -1.268 4.988
Al W Y
2 1 1
Cartesian
1.399 0.848 2.362
0.000 4.997 0.224
0.000 1.053 4.789
0.000 3.348 2.615
```



Record 21
A plane-wave DFT calculation with PBEsol was carried out for a geometry-optimized Y2AlW structure.

Properties
**Total DFT energy (no corrections)**: -7.652 eV per atom
**ΔH_f (0 K)**: 0.234 eV per atom
**DOS(E_F)**: 0.868 states/eV/atom
**Magnetization**: 0.000 Bohr magnetons per cell

Geometry as POSCAR:
```
Y2AlW
1.0
-3.697 1.199 -1.981
-1.538 -4.061 0.412
0.871 2.488 4.684
Y Al W
2 1 1
Cartesian
0.000 0.000 0.000
-2.722 1.128 0.959
-2.618 -1.431 -0.785
-1.643 -1.502 2.156
```



Record 22
A plane-wave DFT calculation with PBEsol was carried out for a geometry-optimized Y2AlW structure.

Properties
**Total DFT energy (no corrections)**: -7.457 eV per atom
**ΔH_f (0 K)**: 0.429 eV per atom
**DOS(E_F)**: 0.929 states/eV/atom
**Magnetization**: 0.000 Bohr magnetons per cell

Geometry as POSCAR:
```
Y2AlW
1.0
-1.929 2.224 -0.698
-2.764 -3.757 2.225
1.466 2.794 4.849
Al W Y
1 1 2
Cartesian
-0.965 1.112 -0.349
0.733 1.397 2.425
-1.498 -0.616 2.177
-1.729 1.877 4.199
```



Record 23
A plane-wave DFT calculation with PBEsol was carried out for a geometry-optimized YAlW2 structure.

Properties
**Total DFT energy (no corrections)**: -9.216 eV per atom
**ΔH_f (0 K)**: 0.417 eV per atom
**DOS(E_F)**: 0.726 states/eV/atom
**Magnetization**: 0.000 Bohr magnetons per cell

Geometry as POSCAR:
```
YAlW2
1.0
-0.662 2.667 0.755
-4.491 -0.648 -1.648
-1.329 -2.305 4.528
W Y Al
2 1 1
Cartesian
-0.450 -0.048 1.244
-1.541 0.410 4.038
-2.576 1.010 -0.447
-2.910 -1.476 1.440
```



Record 24
A plane-wave DFT calculation with PBEsol was carried out for a geometry-optimized YAlW2 structure.

Properties
**Total DFT energy (no corrections)**: -9.247 eV per atom
**ΔH_f (0 K)**: 0.385 eV per atom
**DOS(E_F)**: 0.642 states/eV/atom
**Magnetization**: 0.000 Bohr magnetons per cell

Geometry as POSCAR:
```
YAlW2
1.0
-2.134 -0.102 1.785
-0.246 -2.736 -0.450
5.757 -1.635 6.789
W Al Y
2 1 1
Cartesian
1.617 -0.459 1.907
4.140 -1.176 4.883
1.689 -2.237 4.062
-1.190 -1.419 0.667
```



Record 25
A plane-wave DFT calculation with PBEsol was carried out for a geometry-optimized Al2ZnW structure.

Properties
**Total DFT energy (no corrections)**: -5.496 eV per atom
**ΔH_f (0 K)**: 0.397 eV per atom
**DOS(E_F)**: 0.705 states/eV/atom
**Magnetization**: 0.000 Bohr magnetons per cell

Geometry as POSCAR:
```
Al2ZnW
1.0
-2.104 3.158 -2.182
-1.889 -0.884 -3.849
-4.364 -0.099 -0.325
Al W Zn
2 1 1
Cartesian
0.000 0.000 0.000
-2.089 0.544 -1.589
-4.178 1.088 -3.178
-6.268 1.632 -4.767
```



Record 26
A plane-wave DFT calculation with PBEsol was carried out for a geometry-optimized AlZn2W structure.

Properties
**Total DFT energy (no corrections)**: -5.084 eV per atom
**ΔH_f (0 K)**: 0.181 eV per atom
**DOS(E_F)**: 0.417 states/eV/atom
**Magnetization**: 0.000 Bohr magnetons per cell

Geometry as POSCAR:
```
AlZn2W
1.0
-0.878 -2.671 -0.429
2.742 -1.417 3.216
-3.336 0.597 3.109
Zn Al W
2 1 1
Cartesian
0.000 0.000 0.000
0.932 -2.044 1.393
-2.107 -1.037 1.340
-0.297 -0.410 3.162
```



Record 27
A plane-wave DFT calculation with PBEsol was carried out for a geometry-optimized Al2ZnW structure.

Properties
**Total DFT energy (no corrections)**: -6.015 eV per atom
**ΔH_f (0 K)**: -0.122 eV per atom
**DOS(E_F)**: 0.076 states/eV/atom
**Magnetization**: 0.000 Bohr magnetons per cell

Geometry as POSCAR:
```
Al2ZnW
1.0
3.753 0.000 0.000
0.000 3.753 0.000
-1.877 -1.877 4.116
Zn Al W
1 2 1
Cartesian
1.877 1.877 0.000
0.000 1.877 2.058
1.877 0.000 2.058
0.000 0.000 0.000
```



Record 28
A plane-wave DFT calculation with PBEsol was carried out for a geometry-optimized Al4ZnW structure.

Properties
**Total DFT energy (no corrections)**: -5.118 eV per atom
**ΔH_f (0 K)**: 0.175 eV per atom
**DOS(E_F)**: 0.745 states/eV/atom
**Magnetization**: 0.001 Bohr magnetons per cell

Geometry as POSCAR:
```
Al4ZnW
1.0
-4.060 -1.686 2.467
0.443 -1.677 4.733
-1.924 2.678 3.813
W Al Zn
1 4 1
Cartesian
-1.386 -0.171 2.753
-1.431 0.417 5.650
-3.687 0.412 4.514
-2.501 -1.770 4.976
-3.465 -0.428 6.887
0.000 0.000 0.000
```



Record 29
A plane-wave DFT calculation with PBEsol was carried out for a geometry-optimized Al2ZnW structure.

Properties
**Total DFT energy (no corrections)**: -5.913 eV per atom
**ΔH_f (0 K)**: -0.020 eV per atom
**DOS(E_F)**: 0.448 states/eV/atom
**Magnetization**: 0.000 Bohr magnetons per cell

Geometry as POSCAR:
```
Al2ZnW
1.0
2.712 0.000 0.000
0.000 4.619 0.000
0.000 0.000 4.775
W Al Zn
1 2 1
Cartesian
1.356 0.000 2.594
0.000 0.000 0.232
0.000 2.309 3.342
1.356 2.309 0.994
```